Sr11C2N10 | meta-GGA SCAN | PBEsol geometry

abc: 3.834 15.281 15.281
angles: 90.00 90.00 90.00
Sites, in units of the cell vectors:
Sr (0.500, 0.500, 0.500)
Sr (0.000, 0.000, 0.000)
Sr (0.500, 0.979, 0.795)
Sr (0.500, 0.021, 0.205)
Sr (0.000, 0.521, 0.295)
Sr (0.000, 0.479, 0.705)
Sr (0.500, 0.795, 0.979)
Sr (0.500, 0.205, 0.021)
Sr (0.000, 0.295, 0.521)
Sr (0.000, 0.705, 0.479)
Sr (0.500, 0.671, 0.671)
Sr (0.500, 0.329, 0.329)
Sr (0.000, 0.829, 0.171)
Sr (0.000, 0.171, 0.829)
Sr (0.500, 0.382, 0.888)
Sr (0.500, 0.618, 0.112)
Sr (0.000, 0.118, 0.388)
Sr (0.000, 0.882, 0.612)
Sr (0.500, 0.888, 0.382)
Sr (0.500, 0.112, 0.618)
Sr (0.000, 0.388, 0.118)
Sr (0.000, 0.612, 0.882)
C (0.500, 0.318, 0.682)
C (0.500, 0.682, 0.318)
C (0.000, 0.182, 0.182)
C (0.000, 0.818, 0.818)
N (0.500, 0.091, 0.909)
N (0.500, 0.909, 0.091)
N (0.000, 0.409, 0.409)
N (0.000, 0.591, 0.591)
N (0.500, 0.467, 0.190)
N (0.500, 0.533, 0.810)
N (0.000, 0.033, 0.690)
N (0.000, 0.967, 0.310)
N (0.500, 0.190, 0.467)
N (0.500, 0.810, 0.533)
N (0.000, 0.690, 0.033)
N (0.000, 0.310, 0.967)
N (0.500, 0.261, 0.739)
N (0.500, 0.739, 0.261)
N (0.000, 0.239, 0.239)
N (0.000, 0.761, 0.761)
N (0.500, 0.376, 0.624)
N (0.500, 0.624, 0.376)
N (0.000, 0.124, 0.124)
N (0.000, 0.876, 0.876)

Summary:
- Formation energy (no corrections): -830 meV per atom
- Total magnetic moment: 0.0 μB per cell
- Total DFT energy (no corrections): -16.401 eV per atom


TaSi4 | meta-GGA SCAN | PBEsol geometry

abc: 3.562 4.779 4.779
angles: 82.01 68.12 68.12
Sites, in units of the cell vectors:
Si (0.616, 0.200, 0.568)
Si (0.816, 0.568, 0.800)
Si (0.384, 0.800, 0.432)
Si (0.184, 0.432, 0.200)
Ta (0.000, 0.000, 0.000)

Summary:
- Formation energy (no corrections): 137 meV per atom
- Total magnetic moment: 0.0 μB per cell
- Total DFT energy (no corrections): -21.192 eV per atom


CdMo3 | meta-GGA SCAN | PBEsol geometry

abc: 4.501 4.501 4.501
angles: 60.00 60.00 60.00
Sites, in units of the cell vectors:
Cd (0.000, 0.000, 0.000)
Mo (0.250, 0.250, 0.250)
Mo (0.500, 0.500, 0.500)
Mo (0.750, 0.750, 0.750)

Summary:
- Relative energy among the computed polymorphs: 0.324 eV per atom
- Total magnetic moment: 0.0 μB per cell
- DFT formation energy: 539.8 meV per atom
- Total DFT energy (no corrections): -33.228 eV per atom


InTc | meta-GGA SCAN | PBEsol geometry

abc: 2.974 2.974 8.564
angles: 100.00 100.00 90.00
Sites, in units of the cell vectors:
Tc (0.292, 0.292, 0.585)
Tc (0.708, 0.708, 0.415)
In (0.914, 0.914, 0.827)
In (0.086, 0.086, 0.173)

Summary:
- Total magnetic moment: 0.0 μB per cell
- DFT formation energy: -56.5 meV per atom
- Total DFT energy (no corrections): -34.280 eV per atom


CsSr2As | meta-GGA SCAN | PBEsol geometry

abc: 5.663 5.663 5.663
angles: 60.00 60.00 60.00
Each line ends with the local moment (μB).
Sites, in units of the cell vectors:
Cs (0.500, 0.500, 0.500)  -0.08
Sr (0.250, 0.250, 0.250)  -0.17
Sr (0.750, 0.750, 0.750)  -0.17
As (0.000, 0.000, 0.000)  0.03

Summary:
- Total magnetic moment: 1.3 μB per cell
- DFT formation energy: -117.0 meV per atom
- Total DFT energy (no corrections): -25.755 eV per atom


KInAu2 | meta-GGA SCAN | PBEsol geometry

abc: 4.724 4.734 6.432
angles: 111.17 90.00 119.93
Sites, in units of the cell vectors:
K (0.251, 0.502, 0.755)
Au (0.062, 0.124, 0.185)
Au (0.745, 0.490, 0.234)
In (0.442, 0.884, 0.326)

Summary:
- Total magnetic moment: 0.0 μB per cell
- DFT formation energy: -334.0 meV per atom
- Total DFT energy (no corrections): -45.341 eV per atom